(1)
Below is a relaxed TbDyY3Ho crystal, with properties calculated at the PBE level.

```
data_TbDyY3Ho
_cell_length_a 5.0284
_cell_length_b 15.1022
_cell_length_c 10.0537
_cell_angle_alpha 90.00
_cell_angle_beta 90.00
_cell_angle_gamma 90.00
_space_group_name_H-M_alt 'C m c m'
_space_group_IT_number 63
_space_group_name_Hall '-C 2c 2'
loop_
_atom_site_label
_atom_site_fract_x
_atom_site_fract_y
_atom_site_fract_z
Tb1 0.0000 0.0000 0.0000
Dy1 0.0000 0.4994 0.2500
Y1 0.0000 0.1665 0.2500
Y2 0.0000 0.3338 0.0003
Ho1 0.0000 0.1657 0.7500
```

Computed properties:
**Magnetic moment**: 0.000 μB per atom
**Calculated total energy**: -5.51 eV per atom
**D(E_F)**: 33.0 states/eV per cell

---

(2)
Below is a relaxed Tb2Dy2Y4Ho crystal, with properties calculated at the PBE level.

```
data_Tb2Dy2Y4Ho
_cell_length_a 18.6464
_cell_length_b 3.5892
_cell_length_c 9.5355
_cell_angle_alpha 90.00
_cell_angle_beta 115.76
_cell_angle_gamma 90.00
_space_group_name_H-M_alt 'C 1 2/m 1'
_space_group_IT_number 12
_space_group_name_Hall '-C 2y'
loop_
_atom_site_label
_atom_site_fract_x
_atom_site_fract_y
_atom_site_fract_z
Tb1 0.1484 0.0000 0.1669
Dy1 0.1665 0.5000 0.4991
Y1 0.0188 0.5000 0.8337
Y2 0.1854 0.0000 0.8329
Ho1 0.0000 0.0000 0.5000
```

Computed properties:
**Magnetic moment**: 0.000 μB per atom
**Calculated total energy**: -5.43 eV per atom
**D(E_F)**: 24.6 states/eV per cell

---

(3)
Below is a relaxed Tb6Dy3YHo2 crystal, with properties calculated at the PBE level.

```
data_Tb6Dy3YHo2
_cell_length_a 6.1531
_cell_length_b 10.6476
_cell_length_c 11.7623
_cell_angle_alpha 90.00
_cell_angle_beta 99.98
_cell_angle_gamma 90.00
_space_group_name_H-M_alt 'C 1 2/m 1'
_space_group_IT_number 12
_space_group_name_Hall '-C 2y'
loop_
_atom_site_label
_atom_site_fract_x
_atom_site_fract_y
_atom_site_fract_z
Tb1 0.2489 0.1671 0.2500
Tb2 0.2498 0.0000 0.7500
Dy1 0.0000 0.0000 0.0000
Dy2 0.0000 0.3333 0.0000
Y1 0.0000 0.5000 0.5000
Ho1 0.0000 0.1666 0.5000
```

Computed properties:
**Magnetic moment**: 0.000 μB per atom
**Calculated total energy**: -4.75 eV per atom
**D(E_F)**: 31.5 states/eV per cell

---

(4)
Below is a relaxed TbDy2YHo6 crystal, with properties calculated at the PBE level.

```
data_TbDy2YHo6
_cell_length_a 8.9833
_cell_length_b 15.0075
_cell_length_c 9.5304
_cell_angle_alpha 90.00
_cell_angle_beta 97.77
_cell_angle_gamma 90.00
_space_group_name_H-M_alt 'C 1 2/c 1'
_space_group_IT_number 15
_space_group_name_Hall '-C 2yc'
loop_
_atom_site_label
_atom_site_fract_x
_atom_site_fract_y
_atom_site_fract_z
Tb1 0.0000 0.0915 0.2500
Dy1 0.2489 0.4462 0.0435
Y1 0.0000 0.4775 0.7500
Ho1 0.0624 0.3122 0.4438
Ho2 0.1040 0.1061 0.6200
Ho3 0.2033 0.2747 0.8155
```

Computed properties:
**Magnetic moment**: 0.000 μB per atom
**Calculated total energy**: -4.66 eV per atom
**D(E_F)**: 56.7 states/eV per cell

---

(5)
Below is a relaxed Tb3Dy2YHo6 crystal, with properties calculated at the PBE level.

```
data_Tb3Dy2YHo6
_cell_length_a 6.1359
_cell_length_b 10.6147
_cell_length_c 11.7305
_cell_angle_alpha 90.00
_cell_angle_beta 99.97
_cell_angle_gamma 90.00
_space_group_name_H-M_alt 'C 1 2/m 1'
_space_group_IT_number 12
_space_group_name_Hall '-C 2y'
loop_
_atom_site_label
_atom_site_fract_x
_atom_site_fract_y
_atom_site_fract_z
Tb1 0.0000 0.0000 0.0000
Tb2 0.0000 0.3334 0.0000
Dy1 0.0000 0.1667 0.5000
Y1 0.0000 0.5000 0.5000
Ho1 0.2493 0.1670 0.2501
Ho2 0.2498 0.0000 0.7499
```

Computed properties:
**Magnetic moment**: 0.000 μB per atom
**Calculated total energy**: -4.73 eV per atom
**D(E_F)**: 32.0 states/eV per cell

---

(6)
Below is a relaxed TbDy6Y3Ho2 crystal, with properties calculated at the PBE level.

```
data_TbDy6Y3Ho2
_cell_length_a 6.1479
_cell_length_b 10.6347
_cell_length_c 11.7600
_cell_angle_alpha 90.00
_cell_angle_beta 99.98
_cell_angle_gamma 90.00
_space_group_name_H-M_alt 'C 1 2/m 1'
_space_group_IT_number 12
_space_group_name_Hall '-C 2y'
loop_
_atom_site_label
_atom_site_fract_x
_atom_site_fract_y
_atom_site_fract_z
Tb1 0.0000 0.0000 0.0000
Dy1 0.2501 0.0000 0.7513
Dy2 0.2502 0.1667 0.2488
Y1 0.0000 0.1668 0.5000
Y2 0.0000 0.5000 0.5000
Ho1 0.0000 0.3333 0.0000
```

Computed properties:
**Magnetic moment**: 0.000 μB per atom
**Calculated total energy**: -5.05 eV per atom
**D(E_F)**: 33.1 states/eV per cell

---

(7)
Below is a relaxed Tb4Dy2YHo2 crystal, with properties calculated at the PBE level.

```
data_Tb4Dy2YHo2
_cell_length_a 18.6099
_cell_length_b 3.5847
_cell_length_c 9.5149
_cell_angle_alpha 90.00
_cell_angle_beta 115.75
_cell_angle_gamma 90.00
_space_group_name_H-M_alt 'C 1 2/m 1'
_space_group_IT_number 12
_space_group_name_Hall '-C 2y'
loop_
_atom_site_label
_atom_site_fract_x
_atom_site_fract_y
_atom_site_fract_z
Tb1 0.0188 0.0000 0.3350
Tb2 0.1854 0.5000 0.3335
Dy1 0.1483 0.5000 0.6677
Y1 0.0000 0.5000 0.0000
Ho1 0.1672 0.0000 0.9998
```

Computed properties:
**Magnetic moment**: 0.000 μB per atom
**Calculated total energy**: -4.81 eV per atom
**D(E_F)**: 23.8 states/eV per cell

---

(8)
Below is a relaxed TbDy6Y2Ho3 crystal, with properties calculated at the PBE level.

```
data_TbDy6Y2Ho3
_cell_length_a 6.1406
_cell_length_b 10.6238
_cell_length_c 11.7448
_cell_angle_alpha 90.00
_cell_angle_beta 99.97
_cell_angle_gamma 90.00
_space_group_name_H-M_alt 'C 1 2/m 1'
_space_group_IT_number 12
_space_group_name_Hall '-C 2y'
loop_
_atom_site_label
_atom_site_fract_x
_atom_site_fract_y
_atom_site_fract_z
Tb1 0.0000 0.0000 0.0000
Dy1 0.2485 0.0000 0.7487
Dy2 0.2494 0.3336 0.7487
Y1 0.0000 0.3333 0.0000
Ho1 0.0000 0.1668 0.5000
Ho2 0.0000 0.5000 0.5000
```

Computed properties:
**Magnetic moment**: 0.000 μB per atom
**Calculated total energy**: -4.89 eV per atom
**D(E_F)**: 32.4 states/eV per cell

---

(9)
Below is a relaxed TbDyYHo2 crystal, with properties calculated at the PBE level.

```
data_TbDyYHo2
_cell_length_a 8.3284
_cell_length_b 11.4148
_cell_length_c 7.1836
_cell_angle_alpha 90.00
_cell_angle_beta 90.00
_cell_angle_gamma 90.00
_space_group_name_H-M_alt 'C m c m'
_space_group_IT_number 63
_space_group_name_Hall '-C 2c 2'
loop_
_atom_site_label
_atom_site_fract_x
_atom_site_fract_y
_atom_site_fract_z
Tb1 0.0000 0.2180 0.2500
Dy1 0.0000 0.4882 0.2500
Y1 0.0000 0.2303 0.7500
Ho1 0.1903 0.0000 0.0000
```

Computed properties:
**Magnetic moment**: 0.000 μB per atom
**Calculated total energy**: -4.57 eV per atom
**D(E_F)**: 29.8 states/eV per cell

---

(10)
Below is a relaxed Tb6Dy2Ho3Zr crystal, with properties calculated at the PBE level.

```
data_Tb6Dy2Ho3Zr
_cell_length_a 6.0890
_cell_length_b 10.5267
_cell_length_c 11.6301
_cell_angle_alpha 90.00
_cell_angle_beta 99.94
_cell_angle_gamma 90.00
_space_group_name_H-M_alt 'C 1 2/m 1'
_space_group_IT_number 12
_space_group_name_Hall '-C 2y'
loop_
_atom_site_label
_atom_site_fract_x
_atom_site_fract_y
_atom_site_fract_z
Tb1 0.2451 0.0000 0.2550
Tb2 0.2453 0.1636 0.7454
Dy1 0.0000 0.3332 0.5000
Ho1 0.0000 0.1665 0.0000
Ho2 0.0000 0.5000 0.0000
Zr1 0.0000 0.0000 0.5000
```

Computed properties:
**Magnetic moment**: 0.000 μB per atom
**Calculated total energy**: -4.90 eV per atom
**D(E_F)**: 29.5 states/eV per cell

---

(11)
Below is a relaxed Tb2Dy3Ho6Zr crystal, with properties calculated at the PBE level.

```
data_Tb2Dy3Ho6Zr
_cell_length_a 6.0722
_cell_length_b 10.4995
_cell_length_c 11.5964
_cell_angle_alpha 90.00
_cell_angle_beta 99.97
_cell_angle_gamma 90.00
_space_group_name_H-M_alt 'C 1 2/m 1'
_space_group_IT_number 12
_space_group_name_Hall '-C 2y'
loop_
_atom_site_label
_atom_site_fract_x
_atom_site_fract_y
_atom_site_fract_z
Tb1 0.0000 0.1668 0.0000
Dy1 0.0000 0.0000 0.5000
Dy2 0.0000 0.3335 0.5000
Ho1 0.2451 0.3366 0.2454
Ho2 0.2449 0.5000 0.7551
Zr1 0.0000 0.5000 0.0000
```

Computed properties:
**Magnetic moment**: 0.000 μB per atom
**Calculated total energy**: -4.88 eV per atom
**D(E_F)**: 29.7 states/eV per cell

---

(12)
Below is a relaxed Dy2Ho2Tc crystal, with properties calculated at the PBE level.

```
data_Dy2Ho2Tc
_cell_length_a 12.0430
_cell_length_b 3.8857
_cell_length_c 12.7430
_cell_angle_alpha 90.00
_cell_angle_beta 112.42
_cell_angle_gamma 90.00
_space_group_name_H-M_alt 'C 1 2/m 1'
_space_group_IT_number 12
_space_group_name_Hall '-C 2y'
loop_
_atom_site_label
_atom_site_fract_x
_atom_site_fract_y
_atom_site_fract_z
Dy1 0.0061 0.0000 0.1669
Dy2 0.1516 0.5000 0.6938
Ho1 0.1232 0.0000 0.4495
Ho2 0.1801 0.5000 0.0692
Tc1 0.1810 0.5000 0.3050
```

Computed properties:
**Magnetic moment**: 0.000 μB per atom
**Calculated total energy**: -5.82 eV per atom
**D(E_F)**: 20.2 states/eV per cell

---

(13)
Below is a relaxed Dy2Ho7Tc2 crystal, with properties calculated at the PBE level.

```
data_Dy2Ho7Tc2
_cell_length_a 3.5539
_cell_length_b 18.9245
_cell_length_c 9.3730
_cell_angle_alpha 90.00
_cell_angle_beta 90.00
_cell_angle_gamma 90.00
_space_group_name_H-M_alt 'I m m 2'
_space_group_IT_number 44
_space_group_name_Hall 'I 2 -2'
loop_
_atom_site_label
_atom_site_fract_x
_atom_site_fract_y
_atom_site_fract_z
Dy1 0.0000 0.2456 0.0000
Ho1 0.0000 0.1155 0.3045
Ho2 0.0000 0.1389 0.7012
Ho3 0.0000 0.4180 0.4864
Ho4 0.0000 0.5000 0.0400
Tc1 0.0000 0.0000 0.7820
Tc2 0.0000 0.5000 0.7386
```

Computed properties:
**Magnetic moment**: 0.000 μB per atom
**Calculated total energy**: -5.55 eV per atom
**D(E_F)**: 22.0 states/eV per cell

---

(14)
Below is a relaxed Dy2HoTc crystal, with properties calculated at the PBE level.

```
data_Dy2HoTc
_cell_length_a 3.4573
_cell_length_b 3.4573
_cell_length_c 8.8019
_cell_angle_alpha 90.00
_cell_angle_beta 90.00
_cell_angle_gamma 90.00
_space_group_name_H-M_alt 'P 4/m m m'
_space_group_IT_number 123
_space_group_name_Hall '-P 4 2'
loop_
_atom_site_label
_atom_site_fract_x
_atom_site_fract_y
_atom_site_fract_z
Dy1 0.0000 0.0000 0.1868
Ho1 0.5000 0.5000 0.5000
Tc1 0.5000 0.5000 0.0000
```

Computed properties:
**Magnetic moment**: 0.001 μB per atom
**Calculated total energy**: -6.01 eV per atom
**D(E_F)**: 6.0 states/eV per cell

---

(15)
Below is a relaxed DyHo2Tc9 crystal, with properties calculated at the PBE level.

```
data_DyHo2Tc9
_cell_length_a 5.3447
_cell_length_b 5.3447
_cell_length_c 26.1782
_cell_angle_alpha 90.00
_cell_angle_beta 90.00
_cell_angle_gamma 120.00
_space_group_name_H-M_alt 'R -3 m'
_space_group_IT_number 166
_space_group_name_Hall '-R 3 2"'
loop_
_atom_site_label
_atom_site_fract_x
_atom_site_fract_y
_atom_site_fract_z
Dy1 0.0000 0.0000 0.0000
Ho1 0.0000 0.0000 0.1436
Tc1 0.0000 0.0000 0.3379
Tc2 0.0000 0.0000 0.5000
Tc3 0.0101 0.5050 0.9165
```

Computed properties:
**Magnetic moment**: 0.000 μB per atom
**Calculated total energy**: -8.98 eV per atom
**D(E_F)**: 40.2 states/eV per cell

---

(16)
Below is a relaxed DyHo2Tc crystal, with properties calculated at the PBE level.

```
data_DyHo2Tc
_cell_length_a 7.4279
_cell_length_b 9.1178
_cell_length_c 6.2270
_cell_angle_alpha 90.00
_cell_angle_beta 90.00
_cell_angle_gamma 90.00
_space_group_name_H-M_alt 'P n m a'
_space_group_IT_number 62
_space_group_name_Hall '-P 2ac 2n'
loop_
_atom_site_label
_atom_site_fract_x
_atom_site_fract_y
_atom_site_fract_z
Dy1 0.0418 0.2500 0.1277
Ho1 0.1764 0.0634 0.6576
Tc1 0.1151 0.7500 0.4574
```

Computed properties:
**Magnetic moment**: 0.000 μB per atom
**Calculated total energy**: -6.15 eV per atom
**D(E_F)**: 13.4 states/eV per cell

---

(17)
Below is a relaxed Dy2HoTc9 crystal, with properties calculated at the PBE level.

```
data_Dy2HoTc9
_cell_length_a 5.3439
_cell_length_b 5.3439
_cell_length_c 26.2264
_cell_angle_alpha 90.00
_cell_angle_beta 90.00
_cell_angle_gamma 120.00
_space_group_name_H-M_alt 'R -3 m'
_space_group_IT_number 166
_space_group_name_Hall '-R 3 2"'
loop_
_atom_site_label
_atom_site_fract_x
_atom_site_fract_y
_atom_site_fract_z
Dy1 0.0000 0.0000 0.1437
Ho1 0.0000 0.0000 0.0000
Tc1 0.0000 0.0000 0.3377
Tc2 0.0000 0.0000 0.5000
Tc3 0.0097 0.5048 0.9168
```

Computed properties:
**Magnetic moment**: 0.000 μB per atom
**Calculated total energy**: -8.98 eV per atom
**D(E_F)**: 41.0 states/eV per cell

---

(18)
Below is a relaxed Dy2Ho6Tc crystal, with properties calculated at the PBE level.

```
data_Dy2Ho6Tc
_cell_length_a 3.5663
_cell_length_b 8.7179
_cell_length_c 8.8611
_cell_angle_alpha 84.75
_cell_angle_beta 78.45
_cell_angle_gamma 78.20
_space_group_name_H-M_alt 'P -1'
_space_group_IT_number 2
_space_group_name_Hall '-P 1'
loop_
_atom_site_label
_atom_site_fract_x
_atom_site_fract_y
_atom_site_fract_z
Dy1 0.1741 0.2584 0.3943
Ho1 0.1032 0.0493 0.7426
Ho2 0.1607 0.7167 0.9640
Ho3 0.4478 0.4078 0.6956
Tc1 0.5000 0.0000 0.0000
```

Computed properties:
**Magnetic moment**: 0.001 μB per atom
**Calculated total energy**: -5.22 eV per atom
**D(E_F)**: 11.5 states/eV per cell

---

(19)
Below is a relaxed DyHo2Tc crystal, with properties calculated at the PBE level.

```
data_DyHo2Tc
_cell_length_a 3.4014
_cell_length_b 3.4014
_cell_length_c 32.7143
_cell_angle_alpha 90.00
_cell_angle_beta 90.00
_cell_angle_gamma 120.00
_space_group_name_H-M_alt 'R -3 m'
_space_group_IT_number 166
_space_group_name_Hall '-R 3 2"'
loop_
_atom_site_label
_atom_site_fract_x
_atom_site_fract_y
_atom_site_fract_z
Dy1 0.0000 0.0000 0.0000
Ho1 0.0000 0.0000 0.1049
Tc1 0.0000 0.0000 0.5000
```

Computed properties:
**Magnetic moment**: 0.001 μB per atom
**Calculated total energy**: -5.76 eV per atom
**D(E_F)**: 18.1 states/eV per cell

---

(20)
Below is a relaxed Dy2HoTc crystal, with properties calculated at the PBE level.

```
data_Dy2HoTc
_cell_length_a 7.4156
_cell_length_b 9.1675
_cell_length_c 6.2357
_cell_angle_alpha 90.00
_cell_angle_beta 90.00
_cell_angle_gamma 90.00
_space_group_name_H-M_alt 'P n m a'
_space_group_IT_number 62
_space_group_name_Hall '-P 2ac 2n'
loop_
_atom_site_label
_atom_site_fract_x
_atom_site_fract_y
_atom_site_fract_z
Dy1 0.1767 0.0634 0.1591
Ho1 0.0424 0.2500 0.6292
Tc1 0.1140 0.7500 0.9587
```

Computed properties:
**Magnetic moment**: 0.000 μB per atom
**Calculated total energy**: -6.14 eV per atom
**D(E_F)**: 13.4 states/eV per cell

---

(21)
Below is a relaxed Dy3Ho2Tc2 crystal, with properties calculated at the PBE level.

```
data_Dy3Ho2Tc2
_cell_length_a 12.1835
_cell_length_b 3.8134
_cell_length_c 8.4020
_cell_angle_alpha 90.00
_cell_angle_beta 112.94
_cell_angle_gamma 90.00
_space_group_name_H-M_alt 'C 1 2/m 1'
_space_group_IT_number 12
_space_group_name_Hall '-C 2y'
loop_
_atom_site_label
_atom_site_fract_x
_atom_site_fract_y
_atom_site_fract_z
Dy1 0.0000 0.0000 0.0000
Dy2 0.1247 0.0000 0.4334
Ho1 0.1625 0.5000 0.8182
Tc1 0.1788 0.5000 0.2141
```

Computed properties:
**Magnetic moment**: 0.000 μB per atom
**Calculated total energy**: -6.31 eV per atom
**D(E_F)**: 10.1 states/eV per cell